Y6GeC2Se3 | PBE-GGA | relaxed

Uncorrected formation energy (eV per atom): -1.210
Space-group type: C2/m

Cell lengths 8.9269, 8.9269, 8.1316 Å; angles 104.60, 104.60, 24.93 degrees
Last column: nearest neighbours and their distance in Å.
Sites, in units of the cell vectors:
Y: 0.0183 0.0183 0.2585  1 C 2.58, 2 Ge 2.81, 2 Se 2.83
Y: 0.3210 0.3210 0.4412  3 C 2.52-2.59
Y: 0.3306 0.3306 0.8759  2 C 2.61, 1 Se 2.85, 1 Ge 2.86
Y: 0.6694 0.6694 0.1241  2 C 2.61, 1 Se 2.85, 1 Ge 2.86
Y: 0.6790 0.6790 0.5588  3 C 2.52-2.59
Y: 0.9817 0.9817 0.7415  1 C 2.58, 2 Ge 2.81, 2 Se 2.83
Ge: 0.5000 0.5000 0.0000  6 Y 2.81-2.86
C: 0.1714 0.1714 0.3418  6 Y 2.52-2.61
C: 0.8286 0.8286 0.6582  6 Y 2.52-2.61
Se: 0.1628 0.1628 0.8309  6 Y 2.85-3.05
Se: 0.5000 0.5000 0.5000  6 Y 2.83-3.03
Se: 0.8372 0.8372 0.1691  6 Y 2.85-3.05

---

SiGe2C2 | PBE-GGA | relaxed

Uncorrected formation energy (eV per atom): 1.264
Energy relative to the lowest polymorph listed for this composition (meV per atom): 148
Space-group type: P4/mbm

Cell lengths 6.3788, 6.3788, 3.2290 Å; angles 90.00, 90.00, 90.00 degrees
Last column: nearest neighbours and their distance in Å.
Sites, in units of the cell vectors:
Si: 0.0000 0.0000 0.0000  4 C 2.26
Si: 0.5000 0.5000 0.0000  4 C 2.26
Ge: 0.1320 0.3680 0.5000  2 C 1.93
Ge: 0.3680 0.8680 0.5000  2 C 1.93
Ge: 0.6320 0.1320 0.5000  2 C 1.93
Ge: 0.8680 0.6320 0.5000  2 C 1.93
C: 0.2498 0.2502 0.0000  2 Ge 1.93
C: 0.2502 0.7502 0.0000  2 Ge 1.93
C: 0.7498 0.2498 0.0000  2 Ge 1.93
C: 0.7502 0.7498 0.0000  2 Ge 1.93

---

Si3GeC | PBE-GGA | relaxed

Uncorrected formation energy (eV per atom): 2.251
Energy relative to the lowest polymorph listed for this composition (meV per atom): 1337
Space-group type: Pm-3m

Cell lengths 4.6873, 4.6873, 4.6873 Å; angles 90.00, 90.00, 90.00 degrees
Last column: nearest neighbours and their distance in Å.
Sites, in units of the cell vectors:
Si: 0.0000 0.0000 0.5000  2 Ge 2.34
Si: 0.0000 0.5000 0.0000  2 Ge 2.34
Si: 0.5000 0.0000 0.0000  2 Ge 2.34
Ge: 0.0000 0.0000 0.0000  6 Si 2.34
C: 0.5000 0.5000 0.5000  12 Si 3.31

---

Si2GeC | PBE-GGA | relaxed

Uncorrected formation energy (eV per atom): 0.933
Energy relative to the lowest polymorph listed for this composition (meV per atom): 774
Space-group type: R-3m

Cell lengths 6.4606, 6.4606, 6.4606 Å; angles 34.70, 34.70, 34.70 degrees
Last column: nearest neighbours and their distance in Å.
Sites, in units of the cell vectors:
Si: 0.0943 0.0943 0.0943  1 C 1.72
Si: 0.9057 0.9057 0.9057  1 C 1.72
Ge: 0.5000 0.5000 0.5000  6 Si 2.59
C: 0.0000 0.0000 0.0000  2 Si 1.72

---

SiGeC | PBE-GGA | relaxed

Uncorrected formation energy (eV per atom): 0.581
Energy relative to the lowest polymorph listed for this composition (meV per atom): 320
Space-group type: C2

Cell lengths 5.0243, 5.0243, 3.0533 Å; angles 105.53, 105.53, 125.12 degrees
Last column: nearest neighbours and their distance in Å.
Sites, in units of the cell vectors:
Si: 0.0000 0.0000 0.0000  2 C 1.80
Ge: 0.3195 0.6805 0.5000  1 C 1.89
C: 0.1072 0.8928 0.5000  2 Si 1.80, 1 Ge 1.89

---

Si2GeC | PBE-GGA | relaxed

Uncorrected formation energy (eV per atom): 0.158
Energy relative to the lowest polymorph listed for this composition (meV per atom): 0
Space-group type: I-42d

Cell lengths 5.9974, 5.9974, 5.9974 Å; angles 130.65, 130.65, 72.37 degrees
Last column: nearest neighbours and their distance in Å.
Sites, in units of the cell vectors:
Si: 0.0528 0.6250 0.9278  2 C 1.96
Si: 0.3750 0.3028 0.4278  2 C 1.96
Si: 0.6972 0.1250 0.0722  2 C 1.96
Si: 0.8750 0.9472 0.5722  2 C 1.96
Ge: 0.2500 0.7500 0.5000  4 Si 2.37
Ge: 0.5000 0.5000 0.0000  4 Si 2.37
C: 0.0000 0.0000 0.0000  4 Si 1.96
C: 0.7500 0.2500 0.5000  4 Si 1.96

---

SiGe2C2 | PBE-GGA | relaxed

Uncorrected formation energy (eV per atom): 1.116
Energy relative to the lowest polymorph listed for this composition (meV per atom): 0
Space-group type: I4/mmm

Cell lengths 4.4708, 4.4708, 4.4708 Å; angles 112.62, 112.62, 103.34 degrees
Last column: nearest neighbours and their distance in Å.
Sites, in units of the cell vectors:
Si: 0.0000 0.0000 0.0000  2 C 2.11
Ge: 0.2500 0.7500 0.5000  4 C 2.58, 2 Ge 2.77, 4 Si 2.84
Ge: 0.7500 0.2500 0.5000  4 C 2.58, 2 Ge 2.77, 4 Si 2.84
C: 0.3800 0.3800 0.0000  1 C 1.33
C: 0.6200 0.6200 0.0000  1 C 1.33

---

SiGe2C | PBE-GGA | relaxed

Uncorrected formation energy (eV per atom): 0.405
Energy relative to the lowest polymorph listed for this composition (meV per atom): 0
Space-group type: I-42d

Cell lengths 6.1821, 6.1821, 6.1821 Å; angles 130.82, 130.82, 72.11 degrees
Last column: nearest neighbours and their distance in Å.
Sites, in units of the cell vectors:
Si: 0.0000 0.0000 0.0000  4 Ge 2.39
Si: 0.7500 0.2500 0.5000  4 Ge 2.39
Ge: 0.1825 0.6250 0.0575  2 C 2.05
Ge: 0.3750 0.4325 0.5575  2 C 2.05
Ge: 0.5675 0.1250 0.9425  2 C 2.05
Ge: 0.8750 0.8175 0.4425  2 C 2.05
C: 0.2500 0.7500 0.5000  4 Ge 2.05
C: 0.5000 0.5000 0.0000  4 Ge 2.05